Entry from the Alexandria database: a relaxed structure of Li4AsPd5 (PBE).

Results
* distance to the lowest polymorph of the same formula: 0.068 eV/atom
* crystal system: orthorhombic
* energy of formation: -0.27 eV per atom

a = 5.4562 Å, b = 7.0042 Å, c = 8.7657 Å
α = 90.00°, β = 90.00°, γ = 90.00°
Fractional coordinates of all 20 atoms:
Li1 0.0053 0.2500 0.0176
Li2 0.2500 0.5412 0.4969
Li3 0.2500 0.9588 0.4969
Li4 0.4947 0.2500 0.0176
Li5 0.5053 0.7500 0.9824
Li6 0.7500 0.0412 0.5031
Li7 0.7500 0.4588 0.5031
Li8 0.9947 0.7500 0.9824
As1 0.2500 0.7500 0.7383
As2 0.7500 0.2500 0.2617
Pd1 0.0019 0.0637 0.7622
Pd2 0.0019 0.4363 0.7622
Pd3 0.2500 0.2500 0.3005
Pd4 0.4981 0.0637 0.7622
Pd5 0.4981 0.4363 0.7622
Pd6 0.5019 0.5637 0.2378
Pd7 0.5019 0.9363 0.2378
Pd8 0.7500 0.7500 0.6995
Pd9 0.9981 0.5637 0.2378
Pd10 0.9981 0.9363 0.2378

---

Entry from the Alexandria database: a relaxed structure of Li2PmAsPd2 (PBE).

Results
* crystal system: tetragonal
* energy of formation: -0.44 eV per atom

a = 4.4547 Å, b = 4.4547 Å, c = 5.7531 Å
α = 90.00°, β = 90.00°, γ = 90.00°
Fractional coordinates of all 6 atoms:
Li1 0.0000 0.5000 0.0000
Li2 0.5000 0.0000 0.0000
Pm1 0.0000 0.0000 0.5000
As1 0.0000 0.0000 0.0000
Pd1 0.5000 0.5000 0.2666
Pd2 0.5000 0.5000 0.7334